First-principles (GGA-PBE) data for crystalline Pm2MgTe4 at its relaxed geometry, as listed in Alexandria via LeMat-Bulk.

Lattice parameters (Å, degrees): 4.4086 7.7670 8.3625 118.06 105.28 90.00
Closest atoms and distances in Å follow each position.
Fractional coordinates of all 7 atoms:
Pm1 0.7357 0.7467 0.4714  6 Te 3.11-3.22
Pm2 0.2643 0.2533 0.5286  6 Te 3.11-3.22
Mg1 0.0000 0.0000 0.0000  6 Te 2.94-3.05
Te1 0.8864 0.2022 0.7727  1 Mg 2.94, 3 Pm 3.11-3.17
Te2 0.1136 0.7978 0.2273  1 Mg 2.94, 3 Pm 3.11-3.17
Te3 0.6251 0.2771 0.2502  2 Mg 3.05, 3 Pm 3.18-3.22
Te4 0.3749 0.7229 0.7498  2 Mg 3.05, 3 Pm 3.18-3.22

Properties
- ρ: 5.679 g cm⁻³
- Electronic total energy: -4.625 eV per atom
- Crystal system: monoclinic
- Formation energy from raw total energies: -1.245 eV/atom

***

First-principles (GGA-PBE) data for crystalline Pm5MgTe8 at its relaxed geometry, as listed in Alexandria via LeMat-Bulk.

Lattice parameters (Å, degrees): 8.2119 8.2119 8.2119 110.12 108.18 110.12
Closest atoms and distances in Å follow each position.
Fractional coordinates of all 14 atoms:
Pm1 0.0083 0.3749 0.1337  8 Te 3.15-3.53
Pm2 0.8663 0.8746 0.2412  8 Te 3.15-3.53
Pm3 0.7588 0.6251 0.6334  8 Te 3.15-3.53
Pm4 0.5000 0.0000 0.5000  8 Te 3.17-3.39
Pm5 0.3666 0.1254 0.9917  8 Te 3.15-3.53
Mg1 0.2500 0.5000 0.7500  4 Te 3.02
Te1 0.1410 0.7457 0.0180  1 Mg 3.02, 2 Pm 3.15-3.21
Te2 0.9820 0.1230 0.7277  1 Mg 3.02, 2 Pm 3.15-3.21
Te3 0.7585 0.2428 0.3589  5 Pm 3.17-3.35, 1 Mg 3.53
Te4 0.6411 0.3996 0.8839  5 Pm 3.17-3.35, 1 Mg 3.53
Te5 0.4843 0.6004 0.2415  5 Pm 3.17-3.35, 1 Mg 3.53
Te6 0.6047 0.8770 0.8590  1 Mg 3.02, 2 Pm 3.15-3.21
Te7 0.2723 0.2543 0.3953  1 Mg 3.02, 2 Pm 3.15-3.21
Te8 0.1161 0.7572 0.5157  5 Pm 3.17-3.35, 1 Mg 3.53

Properties
- ρ: 6.898 g cm⁻³
- Electronic total energy: -4.913 eV per atom
- Crystal system: tetragonal
- Formation energy from raw total energies: -1.307 eV/atom

***

First-principles (GGA-PBE) data for crystalline Pm6MgTe8 at its relaxed geometry, as listed in Alexandria via LeMat-Bulk.

Lattice parameters (Å, degrees): 8.2721 8.2721 8.2721 68.74 68.74 68.74
Closest atoms and distances in Å follow each position.
Fractional coordinates of all 15 atoms:
Pm1 0.0840 0.4619 0.6874  7 Te 3.15-3.36
Pm2 0.3126 0.9160 0.5381  7 Te 3.15-3.36
Pm3 0.5381 0.3126 0.9160  7 Te 3.15-3.36
Pm4 0.4619 0.6874 0.0840  7 Te 3.15-3.36
Pm5 0.6874 0.0840 0.4619  7 Te 3.15-3.36
Pm6 0.9160 0.5381 0.3126  7 Te 3.15-3.36
Mg1 0.0000 0.0000 0.0000  6 Te 3.00
Te1 0.1764 0.6469 0.9065  1 Mg 3.00, 4 Pm 3.15-3.27
Te2 0.0935 0.8236 0.3531  1 Mg 3.00, 4 Pm 3.15-3.27
Te3 0.3531 0.0935 0.8236  1 Mg 3.00, 4 Pm 3.15-3.27
Te4 0.6737 0.6737 0.6737  6 Pm 3.23-3.26
Te5 0.3263 0.3263 0.3263  6 Pm 3.23-3.26
Te6 0.6469 0.9065 0.1764  1 Mg 3.00, 4 Pm 3.15-3.27
Te7 0.9065 0.1764 0.6469  1 Mg 3.00, 4 Pm 3.15-3.27
Te8 0.8236 0.3531 0.0935  1 Mg 3.00, 4 Pm 3.15-3.27

Properties
- ρ: 6.710 g cm⁻³
- Electronic total energy: -4.971 eV per atom
- Crystal system: trigonal
- Formation energy from raw total energies: -1.289 eV/atom

***

First-principles (GGA-PBE) data for crystalline PmMg2Te3 at its relaxed geometry, as listed in Alexandria via LeMat-Bulk.

Lattice parameters (Å, degrees): 4.3829 8.3152 12.3630 95.60 90.00 90.00
Closest atoms and distances in Å follow each position.
Fractional coordinates of all 12 atoms:
Pm1 0.2500 0.6563 0.8482  6 Te 3.18-3.27, 1 Mg 3.48
Pm2 0.7500 0.3437 0.1518  6 Te 3.18-3.27, 1 Mg 3.48
Mg1 0.2500 0.4203 0.4116  4 Te 2.77-2.85
Mg2 0.7500 0.5797 0.5884  4 Te 2.77-2.85
Mg3 0.7500 0.0642 0.9229  3 Te 2.78-3.02
Mg4 0.2500 0.9358 0.0771  3 Te 2.78-3.02
Te1 0.7500 0.8576 0.7322  2 Mg 2.77-2.78
Te2 0.2500 0.1424 0.2678  2 Mg 2.77-2.78
Te3 0.7500 0.6107 0.3610  3 Mg 2.81-2.85
Te4 0.2500 0.3893 0.6390  3 Mg 2.81-2.85
Te5 0.2500 0.3137 0.9580  2 Mg 3.02, 3 Pm 3.24-3.27
Te6 0.7500 0.6863 0.0420  2 Mg 3.02, 3 Pm 3.24-3.27

Properties
- ρ: 4.269 g cm⁻³
- Electronic total energy: -3.765 eV per atom
- Crystal system: monoclinic
- Formation energy from raw total energies: -0.871 eV/atom

***

First-principles (GGA-PBE) data for crystalline Pm3MgTe6 at its relaxed geometry, as listed in Alexandria via LeMat-Bulk.

Lattice parameters (Å, degrees): 7.6586 9.5546 9.5546 99.57 90.00 90.00
Closest atoms and distances in Å follow each position.
Fractional coordinates of all 20 atoms:
Pm1 0.4868 0.9202 0.7265  7 Te 3.14-3.31
Pm2 0.9868 0.7265 0.9202  7 Te 3.14-3.31
Pm3 0.3811 0.4024 0.5976  7 Te 3.18-3.26
Pm4 0.8811 0.5976 0.4024  7 Te 3.18-3.26
Pm5 0.9868 0.0798 0.2735  7 Te 3.14-3.31
Pm6 0.4868 0.2735 0.0798  7 Te 3.14-3.31
Mg1 0.0126 0.2100 0.7900  4 Te 2.80-2.84
Mg2 0.5126 0.7900 0.2100  4 Te 2.80-2.84
Te1 0.1823 0.7048 0.6241  4 Pm 3.16-3.24
Te2 0.6823 0.6241 0.7048  4 Pm 3.16-3.24
Te3 0.2112 0.4489 0.9056  1 Mg 2.81, 1 Pm 3.14
Te4 0.7112 0.9056 0.4489  1 Mg 2.81, 1 Pm 3.14
Te5 0.1817 0.0367 0.9633  1 Mg 2.84
Te6 0.6493 0.2292 0.7708  1 Mg 2.80
Te7 0.1493 0.7708 0.2292  1 Mg 2.80
Te8 0.6817 0.9633 0.0367  1 Mg 2.84
Te9 0.2112 0.0944 0.5511  1 Mg 2.81, 1 Pm 3.14
Te10 0.7112 0.5511 0.0944  1 Mg 2.81, 1 Pm 3.14
Te11 0.1823 0.3759 0.2952  4 Pm 3.16-3.24
Te12 0.6823 0.2952 0.3759  4 Pm 3.16-3.24

Properties
- ρ: 5.900 g cm⁻³
- Electronic total energy: -4.654 eV per atom
- Crystal system: orthorhombic
- Formation energy from raw total energies: -1.184 eV/atom

***

First-principles (GGA-PBE) data for crystalline PmMg2Te4 at its relaxed geometry, as listed in Alexandria via LeMat-Bulk.

Lattice parameters (Å, degrees): 4.1887 7.2358 14.4476 90.00 90.00 106.82
Closest atoms and distances in Å follow each position.
Fractional coordinates of all 14 atoms:
Pm1 0.6153 0.2306 0.7500  6 Te 3.14-3.19
Pm2 0.3847 0.7694 0.2500  6 Te 3.14-3.19
Mg1 0.1340 0.2679 0.4310  6 Te 2.84-3.01
Mg2 0.8660 0.7321 0.9310  6 Te 2.84-3.01
Mg3 0.1340 0.2679 0.0690  6 Te 2.84-3.01
Mg4 0.8660 0.7321 0.5690  6 Te 2.84-3.01
Te1 0.7826 0.5653 0.1152  3 Mg 2.90-3.01, 2 Pm 3.19
Te2 0.7826 0.5653 0.3848  3 Mg 2.90-3.01, 2 Pm 3.19
Te3 0.2174 0.4347 0.8848  3 Mg 2.90-3.01, 2 Pm 3.19
Te4 0.2174 0.4347 0.6152  3 Mg 2.90-3.01, 2 Pm 3.19
Te5 0.9464 0.8929 0.7500  2 Mg 2.84, 2 Pm 3.14
Te6 0.0536 0.1071 0.2500  2 Mg 2.84, 2 Pm 3.14
Te7 0.5000 0.0000 0.0000  4 Mg 2.97
Te8 0.5000 0.0000 0.5000  4 Mg 2.97

Properties
- ρ: 5.578 g cm⁻³
- Electronic total energy: -3.854 eV per atom
- Crystal system: orthorhombic
- Formation energy from raw total energies: -0.925 eV/atom

***

First-principles (GGA-PBE) data for crystalline Pm5MgTe4 at its relaxed geometry, as listed in Alexandria via LeMat-Bulk.

Lattice parameters (Å, degrees): 6.3220 7.7399 7.7331 80.46 66.03 65.95
Closest atoms and distances in Å follow each position.
Fractional coordinates of all 10 atoms:
Pm1 0.9003 0.4050 0.7966  5 Te 3.12-3.16, 1 Mg 3.20
Pm2 0.3053 0.7967 0.5950  5 Te 3.12-3.16, 1 Mg 3.20
Pm3 0.6967 0.2033 0.4051  5 Te 3.12-3.16, 1 Mg 3.20
Pm4 0.1018 0.5950 0.2033  5 Te 3.12-3.16, 1 Mg 3.20
Pm5 0.5010 0.0000 0.0000  2 Mg 3.16, 4 Te 3.16
Mg1 0.0008 0.0001 0.0001  6 Pm 3.16-3.20
Te1 0.4009 0.4005 0.8000  6 Pm 3.12-3.16
Te2 0.8016 0.7999 0.5994  6 Pm 3.12-3.16
Te3 0.2006 0.2000 0.4005  6 Pm 3.12-3.16
Te4 0.6013 0.5994 0.2001  6 Pm 3.12-3.16

Properties
- ρ: 6.625 g cm⁻³
- Electronic total energy: -4.895 eV per atom
- Crystal system: triclinic
- Formation energy from raw total energies: -1.103 eV/atom

***

First-principles (GGA-PBE) data for crystalline Pm2MgTl3Te6 at its relaxed geometry, as listed in Alexandria via LeMat-Bulk.

Lattice parameters (Å, degrees): 7.7722 7.7722 8.3914 98.91 98.91 120.12
Closest atoms and distances in Å follow each position.
Fractional coordinates of all 12 atoms:
Pm1 0.3349 0.6651 0.0000  6 Te 3.15-3.16
Pm2 0.6651 0.3349 0.0000  6 Te 3.15-3.16
Mg1 0.0000 0.0000 0.0000  6 Te 3.03-3.05
Tl1 0.1724 0.8276 0.5000  6 Te 3.41-3.46
Tl2 0.8276 0.1724 0.5000  6 Te 3.41-3.46
Tl3 0.5000 0.5000 0.5000  6 Te 3.41-3.50
Te1 0.9290 0.6068 0.7842  1 Mg 3.03, 2 Pm 3.15-3.16
Te2 0.7518 0.7518 0.2193  1 Mg 3.05, 2 Pm 3.15
Te3 0.0710 0.3932 0.2158  1 Mg 3.03, 2 Pm 3.15-3.16
Te4 0.6068 0.9290 0.7842  1 Mg 3.03, 2 Pm 3.15-3.16
Te5 0.2482 0.2482 0.7807  1 Mg 3.05, 2 Pm 3.15
Te6 0.3932 0.0710 0.2158  1 Mg 3.03, 2 Pm 3.15-3.16

Properties
- ρ: 6.745 g cm⁻³
- Electronic total energy: -3.941 eV per atom
- Crystal system: monoclinic
- Formation energy from raw total energies: -0.854 eV/atom

***

First-principles (GGA-PBE) data for crystalline Pm2TmMgTe5 at its relaxed geometry, as listed in Alexandria via LeMat-Bulk.

Lattice parameters (Å, degrees): 4.3142 9.7168 13.5342 90.00 90.00 102.83
Closest atoms and distances in Å follow each position.
Fractional coordinates of all 18 atoms:
Pm1 0.8662 0.7324 0.8028  8 Te 3.23-3.44
Pm2 0.1118 0.2235 0.6809  8 Te 3.23-3.48
Pm3 0.1338 0.2676 0.3028  8 Te 3.23-3.44
Pm4 0.8882 0.7765 0.1809  8 Te 3.23-3.48
Tm1 0.7953 0.5906 0.5127  6 Te 3.01-3.09
Tm2 0.2047 0.4094 0.0127  6 Te 3.01-3.09
Mg1 0.5556 0.1112 0.9558  4 Te 2.67-2.92
Mg2 0.4444 0.8888 0.4558  4 Te 2.67-2.92
Te1 0.3632 0.7264 0.9986  1 Tm 3.01, 2 Pm 3.31
Te2 0.6900 0.3801 0.8503  1 Mg 2.92, 2 Tm 3.09
Te3 0.4959 0.9919 0.7770  1 Mg 2.67
Te4 0.2820 0.5640 0.6696  2 Tm 3.04, 3 Pm 3.23
Te5 0.9491 0.8982 0.5763  2 Mg 2.71
Te6 0.6368 0.2736 0.4986  1 Tm 3.01, 2 Pm 3.31
Te7 0.3100 0.6199 0.3503  1 Mg 2.92, 2 Tm 3.09
Te8 0.5041 0.0081 0.2770  1 Mg 2.67
Te9 0.7180 0.4360 0.1696  2 Tm 3.04, 3 Pm 3.23
Te10 0.0509 0.1018 0.0763  2 Mg 2.71

Properties
- ρ: 6.731 g cm⁻³
- Electronic total energy: -4.689 eV per atom
- Crystal system: orthorhombic
- Formation energy from raw total energies: -1.213 eV/atom

***

First-principles (GGA-PBE) data for crystalline Pm2YMgTe5 at its relaxed geometry, as listed in Alexandria via LeMat-Bulk.

Lattice parameters (Å, degrees): 4.3373 9.7231 13.5511 90.00 90.00 102.89
Closest atoms and distances in Å follow each position.
Fractional coordinates of all 18 atoms:
Pm1 0.8659 0.7318 0.8027  8 Te 3.22-3.46
Pm2 0.1120 0.2240 0.6825  8 Te 3.24-3.43
Pm3 0.1341 0.2682 0.3027  8 Te 3.22-3.46
Pm4 0.8880 0.7760 0.1825  8 Te 3.24-3.43
Y1 0.7957 0.5913 0.5118  6 Te 3.05-3.12
Y2 0.2043 0.4087 0.0118  6 Te 3.05-3.12
Mg1 0.5536 0.1071 0.9563  4 Te 2.67-2.95
Mg2 0.4464 0.8929 0.4563  4 Te 2.67-2.95
Te1 0.3648 0.7295 0.9991  1 Y 3.05, 2 Pm 3.33
Te2 0.6882 0.3764 0.8475  1 Mg 2.95, 2 Y 3.12
Te3 0.4955 0.9909 0.7764  1 Mg 2.67
Te4 0.2825 0.5651 0.6715  2 Y 3.07, 3 Pm 3.22-3.24
Te5 0.9505 0.9010 0.5762  2 Mg 2.71
Te6 0.6352 0.2705 0.4991  1 Y 3.05, 2 Pm 3.33
Te7 0.3118 0.6236 0.3475  1 Mg 2.95, 2 Y 3.12
Te8 0.5045 0.0091 0.2764  1 Mg 2.67
Te9 0.7175 0.4349 0.1715  2 Y 3.07, 3 Pm 3.22-3.24
Te10 0.0495 0.0990 0.0762  2 Mg 2.71

Properties
- ρ: 6.207 g cm⁻³
- Electronic total energy: -4.928 eV per atom
- Crystal system: orthorhombic
- Formation energy from raw total energies: -1.232 eV/atom

***

First-principles (GGA-PBE) data for crystalline PmThMg4 at its relaxed geometry, as listed in Alexandria via LeMat-Bulk.

Lattice parameters (Å, degrees): 5.2746 6.6655 9.7317 69.97 90.00 90.00
Closest atoms and distances in Å follow each position.
Fractional coordinates of all 12 atoms:
Pm1 0.7500 0.1267 0.2466  2 Th 3.33, 12 Mg 3.45-3.51
Pm2 0.2500 0.8733 0.7534  2 Th 3.33, 12 Mg 3.45-3.51
Th1 0.7500 0.6232 0.2535  2 Pm 3.33, 12 Mg 3.44-3.51
Th2 0.2500 0.3768 0.7465  2 Pm 3.33, 12 Mg 3.44-3.51
Mg1 0.2500 0.7905 0.4166  5 Mg 3.04-3.35
Mg2 0.2500 0.9575 0.0836  5 Mg 3.04-3.34
Mg3 0.7500 0.7071 0.5834  5 Mg 3.04-3.35
Mg4 0.7500 0.5410 0.9164  5 Mg 3.04-3.34
Mg5 0.7500 0.2095 0.5834  5 Mg 3.04-3.35
Mg6 0.2500 0.2929 0.4166  5 Mg 3.04-3.35
Mg7 0.7500 0.0425 0.9164  5 Mg 3.04-3.34
Mg8 0.2500 0.4590 0.0836  5 Mg 3.04-3.34

Properties
- ρ: 4.900 g cm⁻³
- Electronic total energy: -3.116 eV per atom
- Relative energy among the computed polymorphs: 0.6 kJ/mol of atoms
- Crystal system: orthorhombic
- Formation energy from the elements: -25 meV/atom

***

First-principles (GGA-PBE) data for crystalline Pm4ThMg5 at its relaxed geometry, as listed in Alexandria via LeMat-Bulk.

Lattice parameters (Å, degrees): 3.8548 3.8548 19.3438 90.00 90.00 90.00
Closest atoms and distances in Å follow each position.
Fractional coordinates of all 10 atoms:
Pm1 0.0000 0.0000 0.1987  8 Mg 3.32-3.36
Pm2 0.0000 0.0000 0.3999  8 Mg 3.34
Pm3 0.0000 0.0000 0.6001  8 Mg 3.34
Pm4 0.0000 0.0000 0.8013  8 Mg 3.32-3.36
Th1 0.0000 0.0000 0.0000  8 Mg 3.35
Mg1 0.5000 0.5000 0.1007  4 Pm 3.32, 4 Th 3.35
Mg2 0.5000 0.5000 0.2999  8 Pm 3.34-3.36
Mg3 0.5000 0.5000 0.5000  8 Pm 3.34
Mg4 0.5000 0.5000 0.7001  8 Pm 3.34-3.36
Mg5 0.5000 0.5000 0.8993  4 Pm 3.32, 4 Th 3.35

Properties
- ρ: 5.393 g cm⁻³
- Electronic total energy: -3.507 eV per atom
- Crystal system: tetragonal
- Formation energy from the elements: -67 meV/atom

***

| no. | magnetic moment (μB/f.u.) |
| --- | --- |
| 1 | 0.000 |
| 2 | 0.000 |
| 3 | 0.000 |
| 4 | 0.000 |
| 5 | 0.000 |
| 6 | 0.000 |
| 7 | 0.000 |
| 8 | 0.000 |
| 9 | 0.000 |
| 10 | 0.000 |
| 11 | 0.000 |
| 12 | 0.000 |